Compound: RbTlIn2Ir
Source: Alexandria
Functional: PBE
Structure: optimized geometry

Unit cell a=5.2823 b=5.2823 c=5.3956 alpha=90.00 beta=90.00 gamma=90.00
Last column: nearest neighbours and their distance in Å.
Fractional positions:
Tl: 0.0000 0.0000 0.5000  2 Ir 2.70
Ir: 0.0000 0.0000 0.0000  4 In 2.64, 2 Tl 2.70
Rb: 0.5000 0.5000 0.5000  4 Tl 3.74, 8 In 3.78
In: 0.0000 0.5000 0.0000  2 Ir 2.64
In: 0.5000 0.0000 0.0000  2 Ir 2.64

Computed properties:
VASP energy, eV per atom: -3.606

***

Compound: RbTl2InIr
Source: Alexandria
Functional: PBE
Structure: optimized geometry

Unit cell a=5.3977 b=5.3977 c=5.2874 alpha=90.00 beta=90.00 gamma=90.00
Last column: nearest neighbours and their distance in Å.
Fractional positions:
Tl: 0.0000 0.5000 0.0000  2 Ir 2.70
Tl: 0.5000 0.0000 0.0000  2 Ir 2.70
Ir: 0.0000 0.0000 0.0000  2 In 2.64, 4 Tl 2.70
Rb: 0.5000 0.5000 0.5000  8 Tl 3.78, 4 In 3.82
In: 0.0000 0.0000 0.5000  2 Ir 2.64

Computed properties:
VASP energy, eV per atom: -3.468

***

Compound: RbV2InIr
Source: Alexandria
Functional: PBE
Structure: optimized geometry

Unit cell a=5.0100 b=5.2241 c=5.0100 alpha=90.00 beta=90.00 gamma=90.00
Last column: nearest neighbours and their distance in Å.
Fractional positions:
V: 0.0000 0.0000 0.5000  2 Ir 2.51
V: 0.5000 0.0000 0.0000  2 Ir 2.51
Ir: 0.0000 0.0000 0.0000  4 V 2.51, 2 In 2.61
Rb: 0.5000 0.5000 0.5000  4 In 3.54, 8 V 3.62
In: 0.0000 0.5000 0.0000  2 Ir 2.61

Computed properties:
VASP energy, eV per atom: -5.516

***

Compound: InRe2Ir
Source: Alexandria
Functional: PBE
Structure: optimized geometry

Unit cell a=4.4989 b=4.4989 c=4.4989 alpha=60.00 beta=60.00 gamma=60.00
Last column: nearest neighbours and their distance in Å.
Fractional positions:
In: 0.5000 0.5000 0.5000  4 Re 2.75, 4 Ir 2.75
Ir: 0.7500 0.7500 0.7500  4 In 2.75, 4 Re 2.75
Re: 0.0000 0.0000 0.0000  4 Ir 2.75, 4 Re 2.75
Re: 0.2500 0.2500 0.2500  4 In 2.75, 4 Re 2.75

Computed properties:
VASP energy, eV per atom: -8.632

***

Compound: InReIr2
Source: Alexandria
Functional: PBE
Structure: optimized geometry

Unit cell a=4.4905 b=4.4905 c=4.4905 alpha=60.00 beta=60.00 gamma=60.00
Last column: nearest neighbours and their distance in Å.
Fractional positions:
In: 0.5000 0.5000 0.5000  4 Ir 2.75, 4 Re 2.75
Ir: 0.0000 0.0000 0.0000  4 Re 2.75, 4 Ir 2.75
Ir: 0.2500 0.2500 0.2500  4 In 2.75, 4 Ir 2.75
Re: 0.7500 0.7500 0.7500  4 Ir 2.75, 4 In 2.75

Computed properties:
VASP energy, eV per atom: -7.790

***

Compound: InRe4Ir
Source: Alexandria
Functional: PBE
Structure: optimized geometry

Unit cell a=5.2105 b=5.2105 c=5.2105 alpha=60.00 beta=60.00 gamma=60.00
Last column: nearest neighbours and their distance in Å.
Fractional positions:
In: 0.7500 0.7500 0.7500  12 Re 3.06, 4 Ir 3.19
Re: 0.8765 0.3745 0.3745  6 Re 2.59-2.62
Re: 0.3745 0.3745 0.8765  6 Re 2.59-2.62
Re: 0.3745 0.8765 0.3745  6 Re 2.59-2.62
Re: 0.3745 0.3745 0.3745  6 Re 2.59-2.62
Ir: 0.0000 0.0000 0.0000  12 Re 3.05, 4 In 3.19

Computed properties:
VASP energy, eV per atom: -9.614

***

Compound: InReIr2
Source: Alexandria
Functional: PBE
Structure: optimized geometry

Unit cell a=5.7953 b=5.7953 c=7.1260 alpha=66.01 beta=66.01 gamma=90.00
Last column: nearest neighbours and their distance in Å.
Fractional positions:
Re: 0.0000 0.0000 0.0000  4 Ir 2.39
Re: 0.7500 0.2500 0.5000  4 Ir 2.39
Ir: 0.6633 0.1250 0.2500  2 Re 2.39, 2 In 2.65
Ir: 0.0867 0.6250 0.2500  2 Re 2.39, 2 In 2.65
Ir: 0.3750 0.3367 0.7500  2 Re 2.39, 2 In 2.65
Ir: 0.8750 0.9133 0.7500  2 Re 2.39, 2 In 2.65
In: 0.5000 0.5000 0.0000  4 Ir 2.65
In: 0.2500 0.7500 0.5000  4 Ir 2.65

Computed properties:
VASP energy, eV per atom: -7.344

***

Compound: InRe2Ir
Source: Alexandria
Functional: PBE
Structure: optimized geometry

Unit cell a=9.3987 b=9.3987 c=9.3987 alpha=17.34 beta=17.34 gamma=17.34
Last column: nearest neighbours and their distance in Å.
Fractional positions:
In: 0.2500 0.2500 0.2500  6 In 2.83, 6 Re 2.95
Ir: 0.7500 0.7500 0.7500  6 Re 2.72, 6 Ir 2.83
Re: 0.0052 0.0052 0.0052  3 Ir 2.72, 6 Re 2.83, 3 In 2.95
Re: 0.4948 0.4948 0.4948  3 Ir 2.72, 6 Re 2.83, 3 In 2.95

Computed properties:
VASP energy, eV per atom: -8.793